<w>
# Rb2Cd2Si

A geometry-optimized Rb2Cd2Si structure (PBE, Alexandria via LeMat-Bulk).

The structure in extended XYZ format:
```
5
Lattice="-1.795 0.747 -5.024 0.086 -5.323 -0.822 -7.596 -2.758 -0.584" Properties=species:S:1:pos:R:3 pbc="T T T"
Rb -4.182 -5.185 -2.165
Rb -5.123 -2.150 -4.266
Cd -7.175 -4.958 -3.950
Cd -2.129 -2.377 -2.481
Si 0.000 0.000 0.000
```

Density = 3.39 Mg/m³
N(E_F) = 4.8 states/eV per cell

=====

<x>
# Rb2Cd2Si

A geometry-optimized Rb2Cd2Si structure (PBE, Alexandria via LeMat-Bulk).

The structure in extended XYZ format:
```
10
Lattice="7.457 0.000 0.000 0.000 7.457 0.000 0.000 0.000 5.996" Properties=species:S:1:pos:R:3 pbc="T T T"
Rb 2.382 1.346 2.998
Rb 5.075 6.110 2.998
Rb 1.346 5.075 2.998
Rb 6.110 2.382 2.998
Si 3.728 3.728 0.000
Si 0.000 0.000 0.000
Cd 4.808 1.080 0.000
Cd 1.080 2.648 0.000
Cd 6.377 4.808 0.000
Cd 2.648 6.377 0.000
```

Density = 4.22 Mg/m³
N(E_F) = 2.7 states/eV per cell

=====

Question: which arrangement is favored energetically? Ranking from most to least stable: <x>, <w>.

=====

<w>
# RbCdSn4

A geometry-optimized RbCdSn4 structure (PBE, Alexandria via LeMat-Bulk).

The structure in extended XYZ format:
```
6
Lattice="6.430 0.000 0.000 3.215 5.569 0.000 3.215 1.856 5.250" Properties=species:S:1:pos:R:3 pbc="T T T"
Sn 4.832 4.636 3.278
Sn 8.029 4.636 3.278
Sn 6.430 3.713 0.667
Sn 6.430 1.867 3.278
Cd 3.215 1.856 1.313
Rb 0.000 0.000 0.000
```

Density = 5.94 Mg/m³
N(E_F) = 6.3 states/eV per cell

=====

<x>
# RbCdSn4

A geometry-optimized RbCdSn4 structure (PBE, Alexandria via LeMat-Bulk).

The structure in extended XYZ format:
```
6
Lattice="4.590 0.000 0.000 2.295 6.299 -1.755 2.295 0.163 6.537" Properties=species:S:1:pos:R:3 pbc="T T T"
Sn 2.295 3.026 0.140
Sn 2.295 1.019 2.852
Sn 6.885 3.436 4.641
Sn 6.885 5.443 1.929
Rb 0.000 0.000 0.000
Cd 4.590 3.231 2.391
```

Density = 5.87 Mg/m³
N(E_F) = 2.3 states/eV per cell

=====

<y>
# RbCdSn4

A geometry-optimized RbCdSn4 structure (PBE, Alexandria via LeMat-Bulk).

The structure in extended XYZ format:
```
12
Lattice="-0.523 -1.987 6.771 8.421 0.693 2.722 -0.500 5.077 4.903" Properties=species:S:1:pos:R:3 pbc="T T T"
Sn 3.275 0.030 6.192
Sn 0.953 2.739 10.368
Sn 4.123 3.753 8.203
Sn -0.506 3.241 5.388
Sn -0.517 -0.151 6.285
Sn 6.445 1.044 4.027
Sn 4.113 0.768 8.993
Sn 3.285 3.015 5.403
Cd 1.195 1.992 7.549
Cd 6.203 1.791 6.846
Rb 5.970 3.021 11.495
Rb 1.428 0.762 2.900
```

Density = 5.85 Mg/m³
N(E_F) = 5.1 states/eV per cell

=====

Question: which arrangement is favored energetically? Ranking from most to least stable: <y>, <x>, <w>.

=====

<w>
# RbCd2Sn2

A geometry-optimized RbCd2Sn2 structure (PBE, Alexandria via LeMat-Bulk).

The structure in extended XYZ format:
```
10
Lattice="-8.706 0.605 3.548 1.581 -7.698 5.195 1.130 1.886 2.451" Properties=species:S:1:pos:R:3 pbc="T T T"
Cd -5.311 -0.651 2.949
Cd -1.813 -6.441 5.793
Cd -0.593 -2.732 2.376
Cd -6.532 -4.360 6.366
Rb 0.000 0.000 0.000
Rb -3.562 -3.546 4.371
Sn -3.810 -5.158 7.937
Sn 0.245 -4.011 5.185
Sn -2.185 -0.048 3.256
Sn -6.240 -1.195 6.008
```

Density = 6.22 Mg/m³
N(E_F) = 4.5 states/eV per cell

=====

<x>
# RbCd2Sn2

A geometry-optimized RbCd2Sn2 structure (PBE, Alexandria via LeMat-Bulk).

The structure in extended XYZ format:
```
5
Lattice="-4.056 1.519 2.537 -0.194 -4.433 2.345 1.513 0.758 6.929" Properties=species:S:1:pos:R:3 pbc="T T T"
Rb 0.000 0.000 0.000
Cd -0.403 -2.567 5.857
Cd -2.334 0.410 5.954
Sn -1.263 -0.933 3.504
Sn -1.473 -1.224 8.307
```

Density = 5.84 Mg/m³
N(E_F) = 1.8 states/eV per cell

=====

Question: which arrangement is favored energetically? Ranking from most to least stable: <x>, <w>.

=====

<w>
# Rb3Cd4Sn4

A geometry-optimized Rb3Cd4Sn4 structure (PBE, Alexandria via LeMat-Bulk).

The structure in extended XYZ format:
```
11
Lattice="-2.242 3.120 -3.201 -3.439 -3.795 -1.291 -6.138 4.841 12.926" Properties=species:S:1:pos:R:3 pbc="T T T"
Sn -5.247 -0.128 3.550
Sn -8.124 4.075 9.663
Sn -6.572 4.295 4.884
Sn -3.695 0.092 -1.228
Cd -8.344 5.183 6.991
Cd -4.482 2.248 5.331
Cd -3.475 -1.017 1.443
Cd -7.337 1.919 3.104
Rb -3.800 2.904 1.587
Rb -8.019 1.263 6.848
Rb 0.000 0.000 0.000
```

Density = 5.06 Mg/m³
N(E_F) = 5.8 states/eV per cell

=====

<x>
# Rb3Cd4Sn4

A geometry-optimized Rb3Cd4Sn4 structure (PBE, Alexandria via LeMat-Bulk).

The structure in extended XYZ format:
```
11
Lattice="8.005 0.000 0.000 -2.668 7.547 0.000 -2.668 -3.773 6.536" Properties=species:S:1:pos:R:3 pbc="T T T"
Cd 5.425 0.000 0.000
Cd -1.808 5.115 0.000
Cd 0.860 1.216 2.106
Cd -1.808 -2.557 4.430
Sn -0.854 -1.207 2.091
Sn 2.561 0.000 0.000
Sn 1.814 2.566 4.445
Sn -0.854 2.415 0.000
Rb 2.668 -1.887 3.268
Rb -2.668 1.887 3.268
Rb 2.668 3.773 0.000
```

Density = 4.97 Mg/m³
N(E_F) = 5.5 states/eV per cell

=====

Question: which arrangement is favored energetically? Ranking from most to least stable: <w>, <x>.